TePbAu2 | meta-GGA SCAN | PBEsol geometry

a = 4.1746 Å, b = 4.0428 Å, c = 5.7283 Å
α = 90.00°, β = 108.35°, γ = 90.00°
With the nearest neighbours (Å) after each atom.
Space group Pm (No. 6)
One atom of each set of equivalent atoms:
Te 0.0000 0.0000 0.0000 x1  6 Au 2.88-3.02
Pb 0.6507 0.5000 0.4256 x1  6 Au 2.88-3.05
Au 0.1788 0.0000 0.5281 x1  2 Te 2.88-3.02, 2 Au 2.88, 4 Pb 2.91-3.01
Au 0.4536 0.5000 0.8955 x1  2 Au 2.88, 2 Pb 2.88-3.05, 4 Te 2.96

Calculated values
* uncorrected formation energy: -57 meV/atom
* density: 13.19 g/cm3
* D(E_F): 0.39 states/eV per atom
* volume: 92 Å³ per cell
* energy relative to the lowest polymorph listed for this composition: 47 meV/atom
* M_tot: 0.00 μB per cell